# 1
First-principles (PBE with a Hubbard U) data for CaVZnF6 after structural relaxation, as listed in Alexandria via LeMat-Bulk.

```
data_CaVZnF6
_chemical_formula_sum 'Ca2 V2 Zn2 F12'
_cell_length_a 5.4291
_cell_length_b 5.4291
_cell_length_c 9.8083
_cell_angle_alpha 90.00
_cell_angle_beta 90.00
_cell_angle_gamma 120.00
_symmetry_space_group_name_H-M 'P -3 1 c'
_symmetry_Int_Tables_number 163
_symmetry_space_group_name_Hall '-P 3 2c'
loop_
_atom_site_label
_atom_site_type_symbol
_atom_site_fract_x
_atom_site_fract_y
_atom_site_fract_z
Ca1 Ca 0.0000 0.0000 0.0000
V1 V 0.3333 0.6667 0.2500
Zn1 Zn 0.3333 0.6667 0.7500
F1 F 0.0072 0.3498 0.6363
```


# 2
First-principles (PBE with a Hubbard U) data for Ca3WF after structural relaxation, as listed in Alexandria via LeMat-Bulk.

ΔE to the lowest computed polymorph	0.0000	eV/atom

```
data_Ca3WF
_chemical_formula_sum 'Ca3 W1 F1'
_cell_length_a 5.0528
_cell_length_b 5.0528
_cell_length_c 5.0528
_cell_angle_alpha 90.00
_cell_angle_beta 90.00
_cell_angle_gamma 90.00
_symmetry_space_group_name_H-M 'P m -3 m'
_symmetry_Int_Tables_number 221
_symmetry_space_group_name_Hall '-P 4 2 3'
loop_
_atom_site_label
_atom_site_type_symbol
_atom_site_fract_x
_atom_site_fract_y
_atom_site_fract_z
Ca1 Ca 0.0000 0.0000 0.5000
W1 W 0.5000 0.5000 0.5000
F1 F 0.0000 0.0000 0.0000
```


# 3
First-principles (PBE with a Hubbard U) data for CaWF2 after structural relaxation, as listed in Alexandria via LeMat-Bulk.

ΔE to the lowest computed polymorph	0.2073	eV/atom

```
data_CaWF2
_chemical_formula_sum 'Ca3 W3 F6'
_cell_length_a 3.2343
_cell_length_b 3.2343
_cell_length_c 21.3083
_cell_angle_alpha 90.00
_cell_angle_beta 90.00
_cell_angle_gamma 120.00
_symmetry_space_group_name_H-M 'R -3 m'
_symmetry_Int_Tables_number 166
_symmetry_space_group_name_Hall '-R 3 2"'
loop_
_atom_site_label
_atom_site_type_symbol
_atom_site_fract_x
_atom_site_fract_y
_atom_site_fract_z
Ca1 Ca 0.0000 0.0000 0.0000
W1 W 0.0000 0.0000 0.5000
F1 F 0.0000 0.0000 0.3861
```


# 4
First-principles (PBE with a Hubbard U) data for CaWF5 after structural relaxation, as listed in Alexandria via LeMat-Bulk.

ΔE to the lowest computed polymorph	0.0105	eV/atom

```
data_CaWF5
_chemical_formula_sum 'Ca4 W4 F20'
_cell_length_a 5.7147
_cell_length_b 10.8393
_cell_length_c 7.9452
_cell_angle_alpha 90.00
_cell_angle_beta 109.67
_cell_angle_gamma 90.00
_symmetry_space_group_name_H-M 'P 1 21/c 1'
_symmetry_Int_Tables_number 14
loop_
_symmetry_equiv_pos_as_xyz
'x,y,z'
'-x,-y,-z'
'-x,y+1/2,-z+1/2'
'x,-y+1/2,z+1/2'
loop_
_atom_site_label
_atom_site_type_symbol
_atom_site_fract_x
_atom_site_fract_y
_atom_site_fract_z
Ca1 Ca 0.0274 0.0152 0.2527
W1 W 0.3946 0.2468 0.6014
F1 F 0.1052 0.1130 0.5578
F2 F 0.1382 0.1066 0.0013
F3 F 0.3069 0.6323 0.3529
F4 F 0.3592 0.6020 0.8004
F5 F 0.3622 0.1802 0.3423
```


# 5
First-principles (PBE with a Hubbard U) data for CaWF2 after structural relaxation, as listed in Alexandria via LeMat-Bulk.

ΔE to the lowest computed polymorph	0.0000	eV/atom

```
data_CaWF2
_chemical_formula_sum 'Ca4 W4 F8'
_cell_length_a 6.3382
_cell_length_b 6.3382
_cell_length_c 10.5636
_cell_angle_alpha 90.00
_cell_angle_beta 90.00
_cell_angle_gamma 90.00
_symmetry_space_group_name_H-M 'I -4 2 d'
_symmetry_Int_Tables_number 122
_symmetry_space_group_name_Hall 'I -4 2bw'
loop_
_atom_site_label
_atom_site_type_symbol
_atom_site_fract_x
_atom_site_fract_y
_atom_site_fract_z
Ca1 Ca 0.0000 0.0000 0.0000
W1 W 0.0000 0.0000 0.5000
F1 F 0.1029 0.2500 0.1250
```


# 6
First-principles (PBE with a Hubbard U) data for CaW2F after structural relaxation, as listed in Alexandria via LeMat-Bulk.

ΔE to the lowest computed polymorph	0.0000	eV/atom

```
data_CaW2F
_chemical_formula_sum 'Ca4 W8 F4'
_cell_length_a 5.6028
_cell_length_b 5.6028
_cell_length_c 14.1005
_cell_angle_alpha 90.00
_cell_angle_beta 90.00
_cell_angle_gamma 90.00
_symmetry_space_group_name_H-M 'I 41/a m d'
_symmetry_Int_Tables_number 141
loop_
_symmetry_equiv_pos_as_xyz
'x,y,z'
'-x,-y,-z'
'-y+1/4,x+3/4,z+1/4'
'y+1/4,-x+3/4,-z+1/4'
'-x+1/2,-y,z+1/2'
'x+1/2,y,-z+1/2'
'y+1/4,-x+1/4,z+3/4'
'-y+1/4,x+1/4,-z+3/4'
'x,-y,-z'
'-x,y,z'
'-y+1/4,-x+1/4,-z+3/4'
'y+1/4,x+1/4,z+3/4'
'-x+1/2,y,-z+1/2'
'x+1/2,-y,z+1/2'
'y+1/4,x+3/4,-z+1/4'
'-y+1/4,-x+3/4,z+1/4'
'x+1/2,y+1/2,z+1/2'
'-x+1/2,-y+1/2,-z+1/2'
'-y+3/4,x+1/4,z+3/4'
'y+3/4,-x+1/4,-z+3/4'
'-x,-y+1/2,z'
'x,y+1/2,-z'
'y+3/4,-x+3/4,z+1/4'
'-y+3/4,x+3/4,-z+1/4'
'x+1/2,-y+1/2,-z+1/2'
'-x+1/2,y+1/2,z+1/2'
'-y+3/4,-x+3/4,-z+1/4'
'y+3/4,x+3/4,z+1/4'
'-x,y+1/2,-z'
'x,-y+1/2,z'
'y+3/4,x+1/4,-z+3/4'
'-y+3/4,-x+1/4,z+3/4'
loop_
_atom_site_label
_atom_site_type_symbol
_atom_site_fract_x
_atom_site_fract_y
_atom_site_fract_z
Ca1 Ca 0.0000 0.2500 0.3750
W1 W 0.0000 0.0000 0.0000
F1 F 0.0000 0.2500 0.8750
```


# 7
First-principles (PBE with a Hubbard U) data for CaW2F after structural relaxation, as listed in Alexandria via LeMat-Bulk.

ΔE to the lowest computed polymorph	0.2872	eV/atom

```
data_CaW2F
_chemical_formula_sum 'Ca4 W8 F4'
_cell_length_a 7.2227
_cell_length_b 7.2227
_cell_length_c 7.2227
_cell_angle_alpha 90.00
_cell_angle_beta 90.00
_cell_angle_gamma 90.00
_symmetry_space_group_name_H-M 'F m -3 m'
_symmetry_Int_Tables_number 225
_symmetry_space_group_name_Hall '-F 4 2 3'
loop_
_atom_site_label
_atom_site_type_symbol
_atom_site_fract_x
_atom_site_fract_y
_atom_site_fract_z
Ca1 Ca 0.0000 0.0000 0.0000
W1 W 0.2500 0.2500 0.2500
F1 F 0.0000 0.0000 0.5000
```


# 8
First-principles (PBE with a Hubbard U) data for CaWF6 after structural relaxation, as listed in Alexandria via LeMat-Bulk.

```
data_CaWF6
_chemical_formula_sum 'Ca3 W3 F18'
_cell_length_a 5.8555
_cell_length_b 5.8555
_cell_length_c 15.1375
_cell_angle_alpha 90.00
_cell_angle_beta 90.00
_cell_angle_gamma 120.00
_symmetry_space_group_name_H-M 'R -3'
_symmetry_Int_Tables_number 148
_symmetry_space_group_name_Hall '-R 3'
loop_
_atom_site_label
_atom_site_type_symbol
_atom_site_fract_x
_atom_site_fract_y
_atom_site_fract_z
Ca1 Ca 0.0000 0.0000 0.0000
W1 W 0.0000 0.0000 0.5000
F1 F 0.0227 0.4463 0.2460
```


# 9
First-principles (PBE with a Hubbard U) data for CaWF5 after structural relaxation, as listed in Alexandria via LeMat-Bulk.

ΔE to the lowest computed polymorph	0.0000	eV/atom

```
data_CaWF5
_chemical_formula_sum 'Ca4 W4 F20'
_cell_length_a 9.4340
_cell_length_b 6.9049
_cell_length_c 7.9746
_cell_angle_alpha 90.00
_cell_angle_beta 114.66
_cell_angle_gamma 90.00
_symmetry_space_group_name_H-M 'C 1 2/c 1'
_symmetry_Int_Tables_number 15
loop_
_symmetry_equiv_pos_as_xyz
'x,y,z'
'-x,-y,-z'
'-x,y,-z+1/2'
'x,-y,z+1/2'
'x+1/2,y+1/2,z'
'-x+1/2,-y+1/2,-z'
'-x+1/2,y+1/2,-z+1/2'
'x+1/2,-y+1/2,z+1/2'
loop_
_atom_site_label
_atom_site_type_symbol
_atom_site_fract_x
_atom_site_fract_y
_atom_site_fract_z
Ca1 Ca 0.0000 0.0332 0.2500
W1 W 0.0000 0.5000 0.0000
F1 F 0.0000 0.3903 0.2500
F2 F 0.0097 0.1958 0.9674
F3 F 0.2426 0.4746 0.6269
```


# 10
First-principles (PBE with a Hubbard U) data for Ca2WF11 after structural relaxation, as listed in Alexandria via LeMat-Bulk.

```
data_Ca2WF11
_chemical_formula_sum 'Ca8 W4 F44'
_cell_length_a 8.1665
_cell_length_b 10.0734
_cell_length_c 10.7889
_cell_angle_alpha 90.00
_cell_angle_beta 90.00
_cell_angle_gamma 90.00
_symmetry_space_group_name_H-M 'I b a m'
_symmetry_Int_Tables_number 72
_symmetry_space_group_name_Hall '-I 2 2c'
loop_
_atom_site_label
_atom_site_type_symbol
_atom_site_fract_x
_atom_site_fract_y
_atom_site_fract_z
Ca1 Ca 0.1593 0.1906 0.0000
W1 W 0.0000 0.5000 0.2500
F1 F 0.0000 0.0000 0.0000
F2 F 0.0842 0.3449 0.1559
F3 F 0.1130 0.1904 0.5000
F4 F 0.1841 0.4378 0.3545
```


# 11
First-principles (PBE with a Hubbard U) data for CaWF3 after structural relaxation, as listed in Alexandria via LeMat-Bulk.

ΔE to the lowest computed polymorph	0.1977	eV/atom

```
data_CaWF3
_chemical_formula_sum 'Ca1 W1 F3'
_cell_length_a 4.5189
_cell_length_b 4.5189
_cell_length_c 4.5189
_cell_angle_alpha 90.00
_cell_angle_beta 90.00
_cell_angle_gamma 90.00
_symmetry_space_group_name_H-M 'P m -3 m'
_symmetry_Int_Tables_number 221
_symmetry_space_group_name_Hall '-P 4 2 3'
loop_
_atom_site_label
_atom_site_type_symbol
_atom_site_fract_x
_atom_site_fract_y
_atom_site_fract_z
Ca1 Ca 0.0000 0.0000 0.0000
W1 W 0.5000 0.5000 0.5000
F1 F 0.0000 0.5000 0.5000
```


# 12
First-principles (PBE with a Hubbard U) data for Ca3WF after structural relaxation, as listed in Alexandria via LeMat-Bulk.

ΔE to the lowest computed polymorph	0.9627	eV/atom

```
data_Ca3WF
_chemical_formula_sum 'Ca3 W1 F1'
_cell_length_a 6.1075
_cell_length_b 6.1075
_cell_length_c 6.1075
_cell_angle_alpha 90.00
_cell_angle_beta 90.00
_cell_angle_gamma 90.00
_symmetry_space_group_name_H-M 'P m -3 m'
_symmetry_Int_Tables_number 221
_symmetry_space_group_name_Hall '-P 4 2 3'
loop_
_atom_site_label
_atom_site_type_symbol
_atom_site_fract_x
_atom_site_fract_y
_atom_site_fract_z
Ca1 Ca 0.0000 0.0000 0.5000
W1 W 0.0000 0.0000 0.0000
F1 F 0.5000 0.5000 0.5000
```


E_tot readings, ordered: -5.4056 -3.6219 -4.5735 -5.7982 -4.7808 -3.8012 -3.5140 -5.7736 -5.8087 -5.1878 -4.6921 -2.6593 eV per atom